1.
Compound: K3InNi
Source: the Alexandria database
Functional: PBE
Structure: relaxed

Unit cell a=6.101 b=6.101 c=6.101 alpha=90.00 beta=90.00 gamma=90.00
Atoms (fractional coordinates):
In1 0.500 0.500 0.500
K1 0.000 0.000 0.500
Ni1 0.000 0.000 0.000
K2 0.500 0.000 0.000
K3 0.000 0.500 0.000

Calculated values
- electronic total energy (eV per atom) = -1.81
- crystal system = cubic

2.
Compound: KInNi2
Source: the Alexandria database
Functional: PBE
Structure: relaxed

Unit cell a=4.410 b=4.410 c=6.077 alpha=90.09 beta=90.09 gamma=60.05
Atoms (fractional coordinates):
Ni1 0.873 0.873 0.250
Ni2 0.207 0.207 0.250
K1 0.880 0.880 0.750
In1 0.540 0.540 0.250

Calculated values
- electronic total energy (eV per atom) = -3.73
- crystal system = monoclinic

3.
Compound: K2InNi2
Source: the Alexandria database
Functional: PBE
Structure: relaxed

Unit cell a=3.338 b=3.338 c=11.905 alpha=81.94 beta=81.94 gamma=90.00
Atoms (fractional coordinates):
Ni1 0.250 0.750 0.500
K1 0.630 0.630 0.739
Ni2 0.750 0.250 0.500
In1 0.000 0.000 0.000
K2 0.370 0.370 0.261

Calculated values
- electronic total energy (eV per atom) = -2.91
- crystal system = tetragonal

4.
Compound: KInNi
Source: the Alexandria database
Functional: PBE
Structure: relaxed

Unit cell a=4.750 b=4.750 c=7.681 alpha=90.00 beta=90.00 gamma=90.00
Atoms (fractional coordinates):
Ni1 0.000 0.000 0.500
In1 0.500 0.000 0.632
K1 0.000 0.500 0.831
Ni2 0.500 0.500 0.500
K2 0.500 0.000 0.169
In2 0.000 0.500 0.368

Calculated values
- electronic total energy (eV per atom) = -3.13
- crystal system = tetragonal